No. 1
## Sr4ErPa3As8 (PBE-GGA)

Data for Sr4ErPa3As8 after structural relaxation.

Summary:
formation energy = -1.205 eV/atom
theoretical density = 6762 kg/m3

a = 8.6454 Å, b = 8.6454 Å, c = 8.6454 Å
α = 58.82°, β = 58.82°, γ = 58.82°
Fractional coordinates of all 16 atoms:
Sr 0.0000 0.0000 0.0000
Sr 0.0000 0.5000 0.5000
Sr 0.5000 0.0000 0.5000
Sr 0.5000 0.5000 0.0000
Er 0.5000 0.5000 0.5000
Pa 0.0000 0.0000 0.5000
Pa 0.0000 0.5000 0.0000
Pa 0.5000 0.0000 0.0000
As 0.2347 0.7416 0.7416
As 0.2395 0.2395 0.2395
As 0.2584 0.2584 0.7653
As 0.2584 0.7653 0.2584
As 0.7416 0.2347 0.7416
As 0.7416 0.7416 0.2347
As 0.7605 0.7605 0.7605
As 0.7653 0.2584 0.2584


No. 2
## Sr2ErPaAs4 (PBE-GGA)

Data for Sr2ErPaAs4 after structural relaxation.

Summary:
formation energy = -1.269 eV/atom
theoretical density = 6508 kg/m3

a = 7.3057 Å, b = 4.2769 Å, c = 7.5397 Å
α = 90.00°, β = 108.95°, γ = 90.00°
Fractional coordinates of all 8 atoms:
Sr 0.0000 0.0000 0.0000
Sr 0.5000 0.5000 0.0000
Er 0.0000 0.5000 0.5000
Pa 0.5000 0.0000 0.5000
As 0.2470 0.0000 0.7182
As 0.2665 0.5000 0.2833
As 0.7335 0.5000 0.7167
As 0.7530 0.0000 0.2818


No. 3
## TbErPa2As4 (PBE-GGA)

Data for TbErPa2As4 after structural relaxation.

Summary:
formation energy = -1.276 eV/atom
theoretical density = 9292 kg/m3

a = 7.0894 Å, b = 4.0985 Å, c = 7.0979 Å
α = 90.00°, β = 109.49°, γ = 90.00°
Fractional coordinates of all 8 atoms:
Tb 0.0000 0.0000 0.0000
Er 0.0000 0.5000 0.5000
Pa 0.5000 0.0000 0.5000
Pa 0.5000 0.5000 0.0000
As 0.2505 0.0000 0.7485
As 0.2518 0.5000 0.2523
As 0.7482 0.5000 0.7477
As 0.7495 0.0000 0.2515


No. 4
## Tb2ErPaAs5 (PBE-GGA)

Data for Tb2ErPaAs5 after structural relaxation.

Summary:
formation energy = -0.481 eV/atom
theoretical density = 6534 kg/m3

a = 5.0602 Å, b = 5.0602 Å, c = 10.8263 Å
α = 90.00°, β = 90.00°, γ = 90.00°
Fractional coordinates of all 9 atoms:
Tb 0.0000 0.0000 0.2328
Tb 0.0000 0.0000 0.7672
Er 0.5000 0.5000 0.5000
Pa 0.5000 0.5000 0.0000
As 0.0000 0.0000 0.5000
As 0.0000 0.5000 0.0000
As 0.5000 0.0000 0.0000
As 0.5000 0.5000 0.2549
As 0.5000 0.5000 0.7451


No. 5
## ErTh2PaAs4 (PBE-GGA)

Data for ErTh2PaAs4 after structural relaxation.

Summary:
formation energy = -1.333 eV/atom
theoretical density = 9406 kg/m3

a = 7.2142 Å, b = 4.1752 Å, c = 7.2252 Å
α = 90.00°, β = 109.50°, γ = 90.00°
Fractional coordinates of all 8 atoms:
Er 0.0000 0.0000 0.0000
Th 0.0000 0.5000 0.5000
Th 0.5000 0.0000 0.5000
Pa 0.5000 0.5000 0.0000
As 0.2464 0.5000 0.2371
As 0.2536 0.0000 0.7632
As 0.7464 0.0000 0.2368
As 0.7536 0.5000 0.7629


No. 6
## Er3Th2PaAs6 (PBE-GGA)

Data for Er3Th2PaAs6 after structural relaxation.

Summary:
formation energy = -1.389 eV/atom
theoretical density = 9081 kg/m3

a = 9.2456 Å, b = 9.2456 Å, c = 8.2539 Å
α = 102.51°, β = 102.51°, γ = 25.95°
Fractional coordinates of all 12 atoms:
Er 0.0000 0.0000 0.0000
Er 0.3317 0.3317 0.6658
Er 0.6683 0.6683 0.3342
Th 0.3334 0.3334 0.1651
Th 0.6666 0.6666 0.8349
Pa 0.0000 0.0000 0.5000
As 0.1639 0.1639 0.0909
As 0.1656 0.1656 0.5755
As 0.4968 0.4968 0.7469
As 0.5032 0.5032 0.2531
As 0.8344 0.8344 0.4245
As 0.8361 0.8361 0.9091